LiAc2Co2O6: optimized geometry, PBE with a Hubbard U.

Lattice parameters (Å, degrees): 6.3591 6.3591 6.3591 54.56 54.56 54.56
Last column: nearest neighbours and their distance in Å.
Atoms (fractional coordinates):
1 Li 0.0000 0.0000 0.0000  6 O 2.17
2 Ac 0.2122 0.2122 0.2122  3 O 2.51
3 Ac 0.7878 0.7878 0.7878  3 O 2.51
4 Co 0.4158 0.4158 0.4158  3 O 1.80
5 Co 0.5842 0.5842 0.5842  3 O 1.80
6 O 0.2206 0.7522 0.7522  1 Co 1.80
7 O 0.2478 0.2478 0.7794  1 Co 1.80
8 O 0.2478 0.7794 0.2478  1 Co 1.80
9 O 0.7522 0.2206 0.7522  1 Co 1.80
10 O 0.7522 0.7522 0.2206  1 Co 1.80
11 O 0.7794 0.2478 0.2478  1 Co 1.80

Results
Final energy: -70.91 eV for the cell shown